# 1
VASP calculation (meta-GGA SCAN) on a PBEsol-optimized structure of Zr2Zn2Cd.

DFT formation energy: 0.67 eV/f.u.
Total energy: -23.635 eV/atom

```
5
Lattice="4.158 0.000 0.000 0.000 4.158 0.000 -2.079 -2.079 5.866" Properties=species:S:1:pos:R:3 pbc="T T T"
Zr 2.079 0.000 2.933
Zr 0.000 2.079 2.933
Zn 0.000 0.000 4.731
Zn 2.079 2.079 1.135
Cd 0.000 0.000 0.000
```

---

# 2
VASP calculation (meta-GGA SCAN) on a PBEsol-optimized structure of Cr2PHW.

Total energy: -22.631 eV/atom

```
5
Lattice="-2.093 -3.433 -2.078 3.990 -0.918 -2.501 1.476 -2.989 3.451" Properties=species:S:1:pos:R:3 pbc="T T T"
Cr 1.995 -0.459 -1.251
Cr 0.738 -1.494 1.726
P -1.046 -1.717 -1.039
W 0.000 0.000 0.000
H 1.687 -3.670 -0.564
```

---

# 3
VASP calculation (meta-GGA SCAN) on a PBEsol-optimized structure of SrTlHg2Se.

Formation energy without anion corrections: -0.204 eV/atom
Total energy: -50.413 eV/atom

```
5
Lattice="5.455 0.000 0.000 0.000 5.455 0.000 0.000 0.000 5.619" Properties=species:S:1:pos:R:3 pbc="T T T"
Hg 0.000 2.727 0.000
Hg 2.727 0.000 0.000
Tl 2.727 2.727 2.810
Se 0.000 0.000 0.000
Sr 0.000 0.000 2.810
```

---

# 4
VASP calculation (meta-GGA SCAN) on a PBEsol-optimized structure of LaAl3.

DFT formation energy: -1.69 eV/f.u.
Total energy: -17.014 eV/atom

```
8
Lattice="-3.905 -2.075 1.073 -0.001 -2.801 -5.417 3.183 -4.727 2.443" Properties=species:S:1:pos:R:3 pbc="T T T"
Al 2.454 -5.045 -0.825
Al -1.223 -2.120 1.096
Al 0.413 -1.274 -0.960
Al 0.817 -5.890 1.232
Al 0.817 -7.212 -1.324
Al 0.413 -2.754 -3.822
La -0.705 -4.291 -1.214
La 1.936 -2.874 1.486
```

---

# 5
VASP calculation (meta-GGA SCAN) on a PBEsol-optimized structure of YCrPRh2.

DFT formation energy: -2.73 eV/f.u.
Total energy: -25.379 eV/atom

```
5
Lattice="4.264 0.000 0.000 0.000 4.414 0.000 0.000 0.000 4.414" Properties=species:S:1:pos:R:3 pbc="T T T"
Rh 0.000 0.000 2.207
Rh 0.000 2.207 0.000
P 0.000 0.000 0.000
Y 2.132 2.207 2.207
Cr 2.132 0.000 0.000
```

---

# 6
VASP calculation (meta-GGA SCAN) on a PBEsol-optimized structure of AgC2.

DFT formation energy: 10.54 eV/f.u.
Total energy: -13.676 eV/atom
Relative energy among the computed polymorphs: 1200 meV/atom

```
3
Lattice="-0.783 2.476 -1.808 1.285 -1.429 -2.513 -3.513 -1.712 -0.823" Properties=species:S:1:pos:R:3 pbc="T T T"
Ag 0.000 0.000 0.000
C -1.756 -0.856 -0.412
C 0.251 0.523 -2.161
```

---

# 7
VASP calculation (meta-GGA SCAN) on a PBEsol-optimized structure of SmGaGe2O7.

Formation energy without anion corrections: -2.372 eV/atom
Total energy: -15.334 eV/atom

```
44
Lattice="6.584 0.000 0.000 0.000 7.175 -0.002 0.000 1.257 11.344" Properties=species:S:1:pos:R:3 pbc="T T T"
O 2.944 1.332 1.434
O 2.171 3.693 5.430
O 0.812 2.891 9.180
O 2.052 7.777 7.768
O 4.104 2.582 7.834
O 5.529 3.074 0.862
O 2.480 5.849 3.507
O 5.463 0.522 0.241
O 0.738 0.745 2.489
O 4.532 0.655 3.574
O 4.029 3.470 3.181
O 5.846 7.686 8.852
O 6.236 2.884 4.237
O 5.771 5.541 2.161
O 0.348 5.548 7.104
O 2.554 4.961 8.160
O 1.055 5.358 10.479
O 5.344 4.870 9.245
O 3.281 3.483 10.452
O 3.640 7.100 9.908
O 3.303 4.949 0.889
O 4.412 4.738 5.911
O 2.237 1.142 4.809
O 1.240 3.561 2.097
O 0.011 6.442 4.779
O 6.572 1.990 6.562
O 4.347 7.290 6.533
O 1.121 7.909 11.101
Ge 6.006 6.978 3.152
Ge 2.714 4.412 2.516
Ge 1.044 2.425 5.190
Ge 4.336 1.791 0.480
Ge 3.869 4.019 8.826
Ge 2.248 6.640 10.861
Ge 0.577 1.454 8.189
Ge 5.540 6.007 6.151
Ga 2.638 0.478 3.049
Ga 5.930 3.737 2.622
Ga 0.654 4.694 8.720
Ga 3.946 7.953 8.293
Sm 5.621 6.698 11.058
Sm 0.963 1.734 0.283
Sm 4.255 2.482 5.387
Sm 2.329 5.950 5.954
```

---

# 8
VASP calculation (meta-GGA SCAN) on a PBEsol-optimized structure of SrLi2Bi2.

DFT formation energy: -2.77 eV/f.u.
Total energy: -37.397 eV/atom
Relative energy among the computed polymorphs: 120 meV/atom

```
5
Lattice="-1.805 -4.915 0.295 4.533 -1.781 -1.943 0.470 2.953 5.465" Properties=species:S:1:pos:R:3 pbc="T T T"
Li 1.314 -0.283 3.324
Li 1.885 -3.460 0.492
Bi 0.015 -2.655 2.468
Bi 3.184 -1.088 1.349
Sr 0.000 0.000 0.000
```

---

# 9
VASP calculation (meta-GGA SCAN) on a PBEsol-optimized structure of InCI2O.

Formation energy without anion corrections: 0.832 eV/atom
Total energy: -23.808 eV/atom

```
5
Lattice="3.040 0.000 0.000 0.000 6.288 0.000 0.000 0.000 6.288" Properties=species:S:1:pos:R:3 pbc="T T T"
O 1.520 0.000 0.000
I 0.000 0.000 3.144
I 0.000 3.144 0.000
C 0.000 0.000 0.000
In 1.520 3.144 3.144
```

---

# 10
VASP calculation (meta-GGA SCAN) on a PBEsol-optimized structure of MgBeCd.

DFT formation energy: 1.18 eV/f.u.
Total energy: -12.855 eV/atom

```
3
Lattice="4.356 0.000 0.000 2.178 3.772 0.000 2.178 1.257 3.557" Properties=species:S:1:pos:R:3 pbc="T T T"
Be 4.356 2.515 1.778
Cd 2.178 1.257 0.889
Mg 0.000 0.000 0.000
```

---

# 11
VASP calculation (meta-GGA SCAN) on a PBEsol-optimized structure of Li3InAu.

DFT formation energy: -1.11 eV/f.u.
Total energy: -22.164 eV/atom

```
5
Lattice="-3.163 1.269 3.335 3.035 -1.385 3.406 1.875 4.382 0.111" Properties=species:S:1:pos:R:3 pbc="T T T"
In 0.874 2.133 3.426
Au 0.000 0.000 0.000
Li -1.581 0.634 1.667
Li 0.938 2.191 0.056
Li 1.518 -0.693 1.703
```

---

# 12
VASP calculation (meta-GGA SCAN) on a PBEsol-optimized structure of Cr2FeHg.

DFT formation energy: 1.86 eV/f.u.
Total energy: -30.302 eV/atom

```
4
Lattice="-1.604 1.109 1.778 -0.135 -2.631 0.154 6.151 0.010 5.543" Properties=species:S:1:pos:R:3 pbc="T T T"
Cr 3.763 -0.754 5.140
Cr 5.919 0.010 5.334
Fe 3.278 0.005 2.953
Hg 0.680 -0.759 2.362
```